The following is a PBE-GGA calculation of crystalline Hf5Sn2Sb2 at its relaxed geometry, from Alexandria via LeMat-Bulk. Values from VASP.

Computed properties:
The value obtained for the total energy is -7.693 eV/atom. As for the formation energy from raw total energies: -358 meV/atom.

Structure (Quantum ESPRESSO input):
```
&SYSTEM
  ibrav = 0, nat = 18, ntyp = 3
/
ATOMIC_SPECIES
Hf 178.49 Hf.upf
Sn 118.71 Sn.upf
Sb 121.76 Sb.upf
CELL_PARAMETERS angstrom
7.136 -3.813 0.000
7.136 3.813 0.000
0.000 0.000 7.572
ATOMIC_POSITIONS angstrom
Hf 0.000 0.000 0.000
Hf 5.206 2.634 5.010
Hf 5.206 1.179 1.224
Hf 9.065 2.634 5.010
Hf 9.065 1.179 1.224
Hf 7.136 0.000 3.786
Hf 5.206 -1.179 6.349
Hf 5.206 -2.634 2.563
Hf 9.065 -1.179 6.349
Hf 9.065 -2.634 2.563
Sn 2.890 0.000 0.000
Sn 4.246 0.000 3.786
Sn 10.026 0.000 3.786
Sn 11.382 0.000 0.000
Sb 7.136 2.728 2.728
Sb 7.136 1.085 6.514
Sb 7.136 -1.085 1.058
Sb 7.136 -2.728 4.844
```

---

The following is a PBE-GGA calculation of crystalline Hf4SnSb2 at its relaxed geometry, from Alexandria via LeMat-Bulk. Values from VASP.

Computed properties:
The value obtained for the total energy is -7.726 eV/atom. As for the formation energy from raw total energies: -289 meV/atom.

Structure (Quantum ESPRESSO input):
```
&SYSTEM
  ibrav = 0, nat = 14, ntyp = 3
/
ATOMIC_SPECIES
Hf 178.49 Hf.upf
Sn 118.71 Sn.upf
Sb 121.76 Sb.upf
CELL_PARAMETERS angstrom
-4.438 4.438 4.309
4.438 -4.438 4.309
4.438 4.438 -4.309
ATOMIC_POSITIONS angstrom
Hf 3.750 2.804 -1.671
Hf 2.804 0.689 0.484
Hf 0.689 2.804 -0.484
Hf 0.689 1.634 2.638
Hf 2.804 3.750 1.671
Hf 3.750 1.634 3.826
Hf 1.634 0.689 5.980
Hf 1.634 3.750 4.793
Sn 0.000 0.000 0.000
Sn 0.000 4.438 2.155
Sb 2.219 -0.704 3.232
Sb 5.142 2.219 1.077
Sb 2.219 5.142 -1.077
Sb -0.704 2.219 5.387
```